Mg2BeGa2 | PBE-GGA | optimized geometry

Total magnetic moment: 0.00 μB per cell
ρ: 3.743 g cm⁻³
Symmetry: P4/mbm (127)
Calculated total energy: -2.566 eV per atom
ΔH_f (0 K): 0.03 eV/atom

a b c (Å): 6.3427 6.3427 4.3464
angles (deg): 90.00 90.00 90.00
Element x y z (fractional)
Mg1 0.6693 0.8307 0.5000
Mg2 0.3307 0.1693 0.5000
Mg3 0.8307 0.3307 0.5000
Mg4 0.1693 0.6693 0.5000
Ga1 0.1443 0.3557 0.0000
Ga2 0.3557 0.8557 0.0000
Ga3 0.6443 0.1443 0.0000
Ga4 0.8557 0.6443 0.0000
Be1 0.0000 0.0000 0.0000
Be2 0.5000 0.5000 0.0000

MgBeGa2 | PBE-GGA | optimized geometry

Total magnetic moment: 0.00 μB per cell
ρ: 4.013 g cm⁻³
Symmetry: R-3m (166)
Calculated total energy: -2.620 eV per atom
E above lowest polymorph: 2.7 meV per atom
ΔH_f (0 K): 0.22 eV/atom

a b c (Å): 3.5012 3.5012 7.0302
angles (deg): 75.58 75.58 60.00
Element x y z (fractional)
Be1 0.0000 0.0000 0.0000
Mg1 0.5000 0.5000 0.5000
Ga1 0.2710 0.2710 0.1871
Ga2 0.7290 0.7290 0.8129

Mg2BeGa | PBE-GGA | optimized geometry

Total magnetic moment: 0.00 μB per cell
ρ: 2.436 g cm⁻³
Symmetry: I-42d (122)
Calculated total energy: -2.193 eV per atom
E above lowest polymorph: 126.0 meV per atom
ΔH_f (0 K): 0.29 eV/atom

a b c (Å): 9.0483 9.0483 6.7403
angles (deg): 47.84 47.84 90.00
Element x y z (fractional)
Mg1 0.4801 0.1250 0.2500
Mg2 0.3750 0.5199 0.7500
Mg3 0.2699 0.6250 0.2500
Mg4 0.8750 0.7301 0.7500
Ga1 0.0000 0.0000 0.0000
Ga2 0.7500 0.2500 0.5000
Be1 0.2500 0.7500 0.5000
Be2 0.5000 0.5000 0.0000

no.,DOS at the Fermi energy (states/eV per cell)
1,3.8
2,1.4
3,2.7